# 1
GeBi2Te4 | Alexandria | PBE | optimized geometry; energy above the most stable polymorph in this dataset = 151 kJ/mol of formula units; total energy = -24.73 eV/cell; crystal system = tetragonal; symmetry = I-42m
1.0
-0.759 -3.632 5.595
-0.205 -5.616 -3.674
6.890 4.061 -0.457
Ge Bi Te
1 2 4
direct
0.500 0.500 0.000 Ge
0.750 0.250 0.500 Bi
0.250 0.750 0.500 Bi
0.876 0.325 0.202 Te
0.325 0.876 0.202 Te
0.675 0.675 0.798 Te
0.124 0.124 0.798 Te

# 2
GeBiTe3 | Alexandria | PBE | optimized geometry; energy above the most stable polymorph in this dataset = 0 kJ/mol of formula units; total energy = -36.92 eV/cell; crystal system = monoclinic; symmetry = C2/m
1.0
4.322 0.000 -0.771
-0.336 5.873 -1.886
0.177 -1.328 13.491
Ge Bi Te
2 2 6
direct
0.802 0.808 0.605 Ge
0.198 0.192 0.395 Ge
0.614 0.540 0.228 Bi
0.386 0.460 0.772 Bi
0.021 0.326 0.042 Te
0.979 0.674 0.958 Te
0.383 0.961 0.765 Te
0.617 0.039 0.235 Te
0.208 0.674 0.417 Te
0.792 0.326 0.583 Te

# 3
Ge3BiTe | Alexandria | PBE | optimized geometry; energy above the most stable polymorph in this dataset = 0 kJ/mol of formula units; total energy = -16.85 eV/cell; crystal system = cubic; symmetry = Pm-3m
1.0
-1.312 1.641 -5.015
3.514 -3.583 -2.092
-3.936 -3.746 -0.196
Ge Te Bi
3 1 1
direct
0.000 0.500 0.000 Ge
0.000 0.000 0.500 Ge
0.500 0.000 0.000 Ge
0.000 0.000 0.000 Te
0.500 0.500 0.500 Bi

# 4
GeBiTe3 | Alexandria | PBE | optimized geometry; energy above the most stable polymorph in this dataset = 227 kJ/mol of formula units; total energy = -16.10 eV/cell; crystal system = cubic; symmetry = Pm-3m
1.0
-3.824 -2.727 2.677
3.758 -2.000 3.331
-0.691 4.217 3.311
Ge Te Bi
1 3 1
direct
0.000 0.000 0.000 Ge
0.000 0.500 0.000 Te
0.000 0.000 0.500 Te
0.500 0.000 0.000 Te
0.500 0.500 0.500 Bi

# 5
Ge2BiTe3 | Alexandria | PBE | optimized geometry; energy above the most stable polymorph in this dataset = 0 kJ/mol of formula units; total energy = -45.12 eV/cell; crystal system = monoclinic; symmetry = P2_1/m
1.0
4.082 0.000 0.000
0.000 8.655 0.204
0.000 -1.463 13.499
Ge Bi Te
4 2 6
direct
0.250 0.350 0.921 Ge
0.750 0.650 0.079 Ge
0.750 0.103 0.453 Ge
0.250 0.897 0.547 Ge
0.250 0.711 0.352 Bi
0.750 0.289 0.648 Bi
0.750 0.902 0.259 Te
0.250 0.098 0.741 Te
0.750 0.542 0.867 Te
0.250 0.458 0.133 Te
0.250 0.315 0.440 Te
0.750 0.685 0.560 Te

# 6
GeBiTe3 | Alexandria | PBE | optimized geometry; energy above the most stable polymorph in this dataset = 12 kJ/mol of formula units; total energy = -36.67 eV/cell; crystal system = monoclinic; symmetry = P2_1/m
1.0
-0.284 -4.123 -1.193
3.092 -1.956 6.028
-13.397 0.865 0.199
Ge Bi Te
2 2 6
direct
0.250 0.243 0.745 Ge
0.750 0.757 0.255 Ge
0.250 0.123 0.161 Bi
0.750 0.877 0.839 Bi
0.250 0.235 0.952 Te
0.750 0.765 0.048 Te
0.250 0.014 0.364 Te
0.750 0.986 0.636 Te
0.250 0.554 0.682 Te
0.750 0.446 0.318 Te

# 7
Ge2BiTe2 | Alexandria | PBE | optimized geometry; energy above the most stable polymorph in this dataset = 0 kJ/mol of formula units; total energy = -37.35 eV/cell; crystal system = tetragonal; symmetry = P4/mbm
1.0
8.405 0.000 0.000
0.000 8.405 0.000
0.000 0.000 3.892
Ge Te Bi
4 4 2
direct
0.337 0.837 0.000 Ge
0.837 0.663 0.000 Ge
0.663 0.163 0.000 Ge
0.163 0.337 0.000 Ge
0.168 0.668 0.500 Te
0.668 0.832 0.500 Te
0.832 0.332 0.500 Te
0.332 0.168 0.500 Te
0.000 0.000 0.000 Bi
0.500 0.500 0.000 Bi

# 8
Ge2BiTe3 | Alexandria | PBE | optimized geometry; energy above the most stable polymorph in this dataset = 2 kJ/mol of formula units; total energy = -45.07 eV/cell; crystal system = triclinic; symmetry = P-1
1.0
4.166 0.008 0.004
-2.071 8.232 -2.615
0.012 -0.589 10.821
Ge Bi Te
4 2 6
direct
0.165 0.329 0.340 Ge
0.835 0.671 0.660 Ge
0.327 0.653 0.147 Ge
0.673 0.347 0.853 Ge
0.500 0.000 0.000 Bi
0.000 0.000 0.500 Bi
0.964 0.932 0.197 Te
0.036 0.068 0.803 Te
0.700 0.398 0.131 Te
0.300 0.602 0.869 Te
0.348 0.694 0.479 Te
0.652 0.306 0.521 Te

# 9
GeBi2Te4 | Alexandria | PBE | optimized geometry; energy above the most stable polymorph in this dataset = 0 kJ/mol of formula units; total energy = -26.30 eV/cell; crystal system = trigonal; symmetry = R-3m
1.0
14.707 0.118 0.069
14.021 4.439 0.069
14.021 2.224 3.842
Ge Te Bi
1 4 2
direct
0.000 0.000 0.000 Ge
0.873 0.873 0.873 Te
0.127 0.127 0.127 Te
0.705 0.705 0.705 Te
0.295 0.295 0.295 Te
0.580 0.580 0.580 Bi
0.420 0.420 0.420 Bi

# 10
Ge2BiTe6 | Alexandria | PBE | optimized geometry; total energy = -63.79 eV/cell; crystal system = monoclinic; symmetry = C2/c
1.0
-1.563 6.872 -1.554
-9.065 -0.101 2.332
1.736 3.730 8.409
Ge Bi Te
4 2 12
direct
0.241 0.615 0.752 Ge
0.259 0.248 0.385 Ge
0.759 0.385 0.248 Ge
0.741 0.752 0.615 Ge
0.250 0.121 0.879 Bi
0.750 0.879 0.121 Bi
0.425 0.727 0.512 Te
0.075 0.488 0.273 Te
0.575 0.273 0.488 Te
0.925 0.512 0.727 Te
0.971 0.857 0.403 Te
0.529 0.597 0.143 Te
0.029 0.143 0.597 Te
0.471 0.403 0.857 Te
0.176 0.804 0.969 Te
0.324 0.031 0.196 Te
0.824 0.196 0.031 Te
0.676 0.969 0.804 Te

# 11
Th4GeBiTe2 | Alexandria | PBE | optimized geometry; total energy = -51.57 eV/cell; crystal system = monoclinic; symmetry = P2/m
1.0
4.442 0.000 0.000
0.000 7.833 0.176
0.000 -2.694 7.222
Th Ge Bi Te
4 1 1 2
direct
0.500 0.271 0.241 Th
0.500 0.729 0.759 Th
0.000 0.279 0.774 Th
0.000 0.721 0.226 Th
0.500 0.500 0.000 Ge
0.000 0.000 0.000 Bi
0.500 0.000 0.500 Te
0.000 0.500 0.500 Te

# 12
Th6Ge3BiTe2 | Alexandria | PBE | optimized geometry; total energy = -79.55 eV/cell; crystal system = monoclinic; symmetry = C2/m
1.0
-1.037 3.300 2.677
-4.559 -5.655 5.203
9.547 -1.692 2.211
Th Ge Bi Te
6 3 1 2
direct
0.326 0.937 0.652 Th
0.659 0.601 0.318 Th
0.674 0.063 0.348 Th
0.993 0.268 0.986 Th
0.007 0.732 0.014 Th
0.341 0.399 0.682 Th
0.500 0.500 0.000 Ge
0.833 0.168 0.666 Ge
0.167 0.832 0.334 Ge
0.500 0.000 0.000 Bi
0.833 0.667 0.666 Te
0.167 0.333 0.334 Te

Number 1: spin magnetization 0.0 μB/cell. Number 2: spin magnetization 0.0 μB/cell. Number 3: spin magnetization 0.0 μB/cell. Number 4: spin magnetization 0.0 μB/cell. Number 5: spin magnetization 0.0 μB/cell. Number 6: spin magnetization 0.0 μB/cell. Number 7: spin magnetization 0.0 μB/cell. Number 8: spin magnetization 0.0 μB/cell. Number 9: spin magnetization 0.0 μB/cell. Number 10: spin magnetization 0.0 μB/cell. Number 11: spin magnetization 0.0 μB/cell. Number 12: spin magnetization 0.0 μB/cell.